The following is a GGA-PBE calculation of an optimized crystal structure of PmVSi, from Alexandria.

Properties
total magnetic moment: 0.00 Bohr magnetons per cell
N(E_F): 1.096 states/eV/atom
formation energy (no corrections): -0.34 eV per atom

Cell: 3.7286 5.7941 6.3936 Å, 96.34 106.84 108.63°
With the nearest neighbours (Å) after each atom.
Fractional positions:
Pm: 0.2260 0.1459 0.3031  5 Si 3.02-3.09, 4 V 3.32-3.33
Pm: 0.7740 0.8541 0.6969  5 Si 3.02-3.09, 4 V 3.32-3.33
V: 0.3634 0.6538 0.0713  3 Si 2.52, 2 V 2.53-2.55
V: 0.6366 0.3462 0.9287  3 Si 2.52, 2 V 2.53-2.55
Si: 0.0393 0.4094 0.6694  1 Si 2.49, 3 V 2.52
Si: 0.9607 0.5906 0.3306  1 Si 2.49, 3 V 2.52

***

The following is a GGA-PBE calculation of an optimized crystal structure of CsLi4Sm3I12, from Alexandria.

Properties
total magnetic moment: 2.04 Bohr magnetons per cell
N(E_F): 0.522 states/eV/atom
formation energy (no corrections): -1.21 eV per atom

Cell: 10.4310 10.4310 10.4310 Å, 108.98 108.98 108.98°
With the nearest neighbours (Å) after each atom.
Fractional positions:
Cs: 0.0000 0.0000 0.0000  6 I 4.04
Li: 0.0895 0.5000 0.9105  3 I 2.70-2.80
Li: 0.5000 0.5000 0.5000  3 I 2.67
Li: 0.5000 0.9105 0.0895  3 I 2.70-2.80
Li: 0.9105 0.0895 0.5000  3 I 2.70-2.80
Sm: 0.0000 0.5822 0.4178  6 I 3.13-3.14
Sm: 0.4178 0.0000 0.5822  6 I 3.13-3.14
Sm: 0.5822 0.4178 0.0000  6 I 3.13-3.14
I: 0.0728 0.6657 0.7592  1 Li 2.70
I: 0.0751 0.9249 0.5000  1 Li 2.80
I: 0.2408 0.3343 0.9272  1 Li 2.70
I: 0.3343 0.9272 0.2408  1 Li 2.70
I: 0.3429 0.6571 0.5000  1 Li 2.67
I: 0.5000 0.0751 0.9249  1 Li 2.80
I: 0.5000 0.3429 0.6571  1 Li 2.67
I: 0.6571 0.5000 0.3429  1 Li 2.67
I: 0.6657 0.7592 0.0728  1 Li 2.70
I: 0.7592 0.0728 0.6657  1 Li 2.70
I: 0.9249 0.5000 0.0751  1 Li 2.80
I: 0.9272 0.2408 0.3343  1 Li 2.70

***

The following is a GGA-PBE calculation of an optimized crystal structure of Na3YV, from Alexandria.

Properties
total magnetic moment: 3.16 Bohr magnetons per cell
formation energy: 1.619 eV/atom
N(E_F): 1.911 states/eV/atom

Cell: 6.1190 6.1190 6.1190 Å, 90.00 90.00 90.00°
With the nearest neighbours (Å) after each atom.
Fractional positions:
Na: 0.0000 0.0000 0.5000  2 Y 3.06
Na: 0.0000 0.5000 0.0000  2 Y 3.06
Na: 0.5000 0.0000 0.0000  2 Y 3.06
Y: 0.0000 0.0000 0.0000  6 Na 3.06
V: 0.5000 0.5000 0.5000  12 Na 4.33

***

The following is a GGA-PBE calculation of an optimized crystal structure of PmScGeAu, from Alexandria.

Properties
total magnetic moment: 0.72 Bohr magnetons per cell
formation energy: -0.692 eV/atom
N(E_F): 0.916 states/eV/atom

Cell: 5.0214 5.0214 5.0214 Å, 60.00 60.00 60.00°
With the nearest neighbours (Å) after each atom.
Fractional positions:
Pm: 0.0000 0.0000 0.0000  4 Ge 3.07, 4 Au 3.07
Sc: 0.5000 0.5000 0.5000  4 Ge 3.07, 4 Au 3.07
Ge: 0.7500 0.7500 0.7500  4 Sc 3.07, 4 Pm 3.07
Au: 0.2500 0.2500 0.2500  4 Sc 3.07, 4 Pm 3.07

***

> Which value of total magnetic moment does entry 2 give?

2.04 Bohr magnetons per cell